# 1
Material: RbNi2H3
Method: DFT, PBE
State: relaxed

```
data_RbNi2H3
_symmetry_space_group_name_H-M 'P -3 m 1'
_symmetry_Int_Tables_number 164
_symmetry_space_group_name_Hall '-P 3 2"'
_cell_length_a 2.9327
_cell_length_b 2.9327
_cell_length_c 7.7763
_cell_angle_alpha 90.00
_cell_angle_beta 90.00
_cell_angle_gamma 120.00
loop_
_atom_site_label
_atom_site_type_symbol
_atom_site_fract_x
_atom_site_fract_y
_atom_site_fract_z
Rb1 Rb 0.0000 0.0000 0.0000
Ni1 Ni 0.3333 0.6667 0.6293
H1 H 0.0000 0.0000 0.5000
H2 H 0.3333 0.6667 0.2878
```

# 2
Material: CuGePd2
Method: DFT, PBE
State: relaxed

```
data_CuGePd2
_symmetry_space_group_name_H-M 'F -4 3 m'
_symmetry_Int_Tables_number 216
_symmetry_space_group_name_Hall 'F -4 2 3'
_cell_length_a 6.155
_cell_length_b 6.155
_cell_length_c 6.155
_cell_angle_alpha 90.00
_cell_angle_beta 90.00
_cell_angle_gamma 90.00
loop_
_atom_site_label
_atom_site_type_symbol
_atom_site_fract_x
_atom_site_fract_y
_atom_site_fract_z
Cu1 Cu 0.000 0.000 0.000
Ge1 Ge 0.250 0.250 0.750
Pd1 Pd 0.000 0.000 0.500
Pd2 Pd 0.250 0.250 0.250
```

# 3
Material: LiIn2Ag
Method: DFT, PBE
State: relaxed

```
data_LiIn2Ag
_symmetry_space_group_name_H-M 'I 4/m m m'
_symmetry_Int_Tables_number 139
_symmetry_space_group_name_Hall '-I 4 2'
_cell_length_a 4.428
_cell_length_b 4.428
_cell_length_c 8.333
_cell_angle_alpha 90.00
_cell_angle_beta 90.00
_cell_angle_gamma 90.00
loop_
_atom_site_label
_atom_site_type_symbol
_atom_site_fract_x
_atom_site_fract_y
_atom_site_fract_z
Li1 Li 0.000 0.000 0.000
In1 In 0.000 0.500 0.250
Ag1 Ag 0.000 0.000 0.500
```

no.,raw total energy (eV/atom),volume (Å³/cell)
1,-3.4166,57.9
2,-4.8545,233.2
3,-2.7117,163.4